Material: Zr5Zn4Au
Method: DFT, PBE
State: optimized geometry

Properties
DOS(E_F) ... 5.35 states/eV/cell
Calculated formation energy ... -0.310 eV per atom
V ... 19.0 Å³/atom

Cell lengths 3.3298, 3.3298, 17.1238 Å; angles 90.00, 90.00, 90.00 degrees
Atoms (fractional coordinates):
Zr: 0.5000 0.5000 0.1070
Zr: 0.5000 0.5000 0.3040
Zr: 0.5000 0.5000 0.5000
Zr: 0.5000 0.5000 0.6960
Zr: 0.5000 0.5000 0.8930
Zn: 0.0000 0.0000 0.2055
Zn: 0.0000 0.0000 0.4020
Zn: 0.0000 0.0000 0.5980
Zn: 0.0000 0.0000 0.7945
Au: 0.0000 0.0000 0.0000

Material: KInPb2
Method: DFT, PBE
State: optimized geometry

Properties
DOS(E_F) ... 1.70 states/eV/cell
Calculated formation energy ... -0.009 eV per atom
V ... 37.7 Å³/atom

Cell lengths 5.0115, 5.0115, 7.5159 Å; angles 70.53, 70.53, 60.00 degrees
Atoms (fractional coordinates):
K: 0.4911 0.4911 0.5268
In: 0.6740 0.6740 0.9780
Pb: 0.0559 0.0559 0.8322
Pb: 0.2790 0.2790 0.1630

Material: ThU2S5
Method: DFT, PBE
State: optimized geometry

Properties
DOS(E_F) ... 12.99 states/eV/cell
Uncorrected energy ... -0.2902 hartree per atom
V ... 20.3 Å³/atom

Cell lengths 7.0152, 7.0152, 8.2690 Å; angles 115.10, 115.10, 90.00 degrees
Atoms (fractional coordinates):
Th: 0.7500 0.7500 0.5000
Th: 0.2500 0.2500 0.5000
U: 0.1235 0.3765 0.0000
U: 0.6235 0.1235 0.0000
U: 0.3765 0.8765 0.0000
U: 0.8765 0.6235 0.0000
S: 0.5228 0.6844 0.7071
S: 0.8156 0.9772 0.2928
S: 0.0000 0.0000 0.0000
S: 0.5000 0.5000 0.0000
S: 0.1844 0.0228 0.7071
S: 0.6844 0.1844 0.7071
S: 0.0228 0.5228 0.7071
S: 0.3156 0.8156 0.2928
S: 0.9772 0.4772 0.2928
S: 0.4772 0.3156 0.2928

Material: Cs4Th3FeS8
Method: DFT, PBE
State: optimized geometry

Properties
DOS(E_F) ... 9.26 states/eV/cell
Uncorrected energy ... -0.2062 hartree per atom
V ... 30.0 Å³/atom

Cell lengths 8.2650, 9.4082, 8.2579 Å; angles 116.03, 120.03, 90.00 degrees
Atoms (fractional coordinates):
Cs: 0.5000 0.0000 0.0000
Cs: 0.5000 0.0000 0.5000
Cs: 0.0000 0.0000 0.0000
Cs: 0.0000 0.0000 0.5000
Th: 0.5000 0.5000 0.0000
Th: 0.5000 0.5000 0.5000
Th: 0.0000 0.5000 0.5000
Fe: 0.0000 0.5000 0.0000
S: 0.2248 0.6811 0.9564
S: 0.2242 0.6805 0.4484
S: 0.2690 0.3074 0.5380
S: 0.7316 0.6811 0.9564
S: 0.2684 0.3189 0.0436
S: 0.7310 0.6926 0.4620
S: 0.7758 0.3195 0.5516
S: 0.7752 0.3189 0.0436